This record from Alexandria via LeMat-Bulk describes an optimized crystal structure of ZrCdMo2. The functional is PBE.

## Properties
* formation energy: 0.055 eV per atom

```
data_ZrCdMo2
_cell_length_a 3.257
_cell_length_b 3.257
_cell_length_c 7.083
_cell_angle_alpha 90.00
_cell_angle_beta 90.00
_cell_angle_gamma 90.00
_symmetry_space_group_name_H-M 'P 4 m m'
_symmetry_Int_Tables_number 99
loop_
_symmetry_equiv_pos_as_xyz
'x,y,z'
'-y,x,z'
'-x,-y,z'
'y,-x,z'
'-x,y,z'
'y,x,z'
'x,-y,z'
'-y,-x,z'
loop_
_atom_site_label
_atom_site_type_symbol
_atom_site_fract_x
_atom_site_fract_y
_atom_site_fract_z
Zr1 Zr 0.000 0.000 0.000
Cd1 Cd 0.500 0.500 0.300
Mo1 Mo 0.000 0.000 0.563
Mo2 Mo 0.500 0.500 0.757
```

This record from Alexandria via LeMat-Bulk describes an optimized crystal structure of Pr4SiSI2. The functional is PBE.

## Properties
* raw formation energy: -1.246 eV/atom

```
data_Pr4SiSI2
_cell_length_a 7.344
_cell_length_b 4.309
_cell_length_c 8.170
_cell_angle_alpha 90.00
_cell_angle_beta 107.93
_cell_angle_gamma 90.00
_symmetry_space_group_name_H-M 'P 1 2/m 1'
_symmetry_Int_Tables_number 10
loop_
_symmetry_equiv_pos_as_xyz
'x,y,z'
'-x,-y,-z'
'-x,y,-z'
'x,-y,z'
loop_
_atom_site_label
_atom_site_type_symbol
_atom_site_fract_x
_atom_site_fract_y
_atom_site_fract_z
Pr1 Pr 0.225 0.000 0.188
Pr2 Pr 0.264 0.500 0.807
Si1 Si 0.500 0.000 0.000
S1 S 0.000 0.500 0.000
I1 I 0.000 0.000 0.500
I2 I 0.500 0.500 0.500
```

This record from Alexandria via LeMat-Bulk describes an optimized crystal structure of Co2SiAg. The functional is PBE.

## Properties
* raw formation energy: 0.243 eV/atom

```
data_Co2SiAg
_cell_length_a 5.904
_cell_length_b 5.904
_cell_length_c 5.904
_cell_angle_alpha 90.00
_cell_angle_beta 90.00
_cell_angle_gamma 90.00
_symmetry_space_group_name_H-M 'F -4 3 m'
_symmetry_Int_Tables_number 216
_symmetry_space_group_name_Hall 'F -4 2 3'
loop_
_atom_site_label
_atom_site_type_symbol
_atom_site_fract_x
_atom_site_fract_y
_atom_site_fract_z
Co1 Co 0.000 0.000 0.000
Co2 Co 0.250 0.250 0.250
Si1 Si 0.000 0.000 0.500
Ag1 Ag 0.250 0.250 0.750
```

This record from Alexandria via LeMat-Bulk describes an optimized crystal structure of SrBiPbO6. The functional is PBE.

## Properties
* raw formation energy: -1.181 eV/atom

```
data_SrBiPbO6
_cell_length_a 5.7530
_cell_length_b 5.7530
_cell_length_c 10.6336
_cell_angle_alpha 90.00
_cell_angle_beta 90.00
_cell_angle_gamma 120.00
_symmetry_space_group_name_H-M 'P -3 1 c'
_symmetry_Int_Tables_number 163
_symmetry_space_group_name_Hall '-P 3 2c'
loop_
_atom_site_label
_atom_site_type_symbol
_atom_site_fract_x
_atom_site_fract_y
_atom_site_fract_z
Sr1 Sr 0.0000 0.0000 0.0000
Bi1 Bi 0.3333 0.6667 0.2500
Pb1 Pb 0.3333 0.6667 0.7500
O1 O 0.0086 0.3679 0.1394
```